Entry 1:
Er12Ga6Bi GGA-PBE optimized geometry; E_form = -38 kJ per mole of atoms; magnetization = 0.0 μB per formula unit; SG = Im-3 (204)
1.0
-5.3477 -2.9352 -6.1717
5.8569 5.3329 -3.5440
4.0682 -6.6977 3.7274
Er Ga Bi
12 6 1
Cartesian
2.3415 -5.7265 0.8038
2.0295 0.4546 -2.8542
2.5479 -4.7547 -3.1342
2.2359 1.4265 -6.7922
5.3801 2.0149 -2.4323
-0.2841 -2.4105 -2.5653
4.8615 -1.8895 -3.4231
-0.8027 -6.3149 -3.5560
-2.1544 -1.5182 -5.6547
2.7090 -2.2286 -0.4080
1.8684 -2.0714 -5.5803
6.7319 -2.7819 -0.3337
4.4792 -4.3211 -0.8316
0.0982 0.0211 -5.1567
4.0037 0.6833 -4.7886
0.5737 -4.9833 -1.1997
-0.4474 -3.9108 -4.8921
5.0248 -0.3893 -1.0962
0.0000 0.0000 0.0000


Entry 2:
ErGa2Bi GGA-PBE optimized geometry; E_form = -14 kJ per mole of atoms; magnetization = 0.0 μB per formula unit; SG = R-3m (166)
1.0
5.1879 0.0000 0.0000
2.5939 4.4928 0.0000
2.5939 1.4976 4.2033
Bi Ga Er
1 2 1
Cartesian
0.0000 0.0000 0.0000
2.5939 1.4976 1.0493
7.7818 4.4928 3.1540
5.1879 2.9952 2.1016


Entry 3:
ErGaBi GGA-PBE optimized geometry; E_form = -26 kJ per mole of atoms; magnetization = 0.0 μB per formula unit; SG = P3m1 (156)
1.0
-0.8403 3.6238 0.4258
-0.9761 -0.7894 4.7922
4.5824 1.2299 -1.4246
Bi Ga Er
1 1 1
Cartesian
0.2479 2.5959 3.0386
-0.8029 3.4628 0.4069
2.4809 1.6295 0.7737